ZrCrGe2 | GGA-PBEsol | optimized geometry

Values from the calculation:
DOS(E_F) (states/eV/atom): 0.60
Formation energy (eV per atom): -0.549

Cell lengths 9.194, 9.944, 8.101 Å; angles 90.00, 90.00, 90.00 degrees
Fractional positions:
Zr (0.167, 0.180, 0.000)
Zr (0.171, 0.452, 0.245)
Zr (0.171, 0.452, 0.755)
Zr (0.329, 0.952, 0.245)
Zr (0.329, 0.952, 0.755)
Zr (0.333, 0.680, 0.000)
Zr (0.667, 0.320, 0.000)
Zr (0.671, 0.048, 0.245)
Zr (0.671, 0.048, 0.755)
Zr (0.829, 0.548, 0.245)
Zr (0.829, 0.548, 0.755)
Zr (0.833, 0.820, 0.000)
Cr (0.000, 0.000, 0.245)
Cr (0.000, 0.000, 0.755)
Cr (0.080, 0.757, 0.250)
Cr (0.080, 0.757, 0.750)
Cr (0.420, 0.257, 0.250)
Cr (0.420, 0.257, 0.750)
Cr (0.500, 0.500, 0.245)
Cr (0.500, 0.500, 0.755)
Cr (0.580, 0.743, 0.250)
Cr (0.580, 0.743, 0.750)
Cr (0.920, 0.243, 0.250)
Cr (0.920, 0.243, 0.750)
Ge (0.039, 0.626, 0.500)
Ge (0.042, 0.622, 0.000)
Ge (0.124, 0.907, 0.500)
Ge (0.130, 0.900, 0.000)
Ge (0.172, 0.181, 0.343)
Ge (0.172, 0.181, 0.657)
Ge (0.328, 0.681, 0.343)
Ge (0.328, 0.681, 0.657)
Ge (0.370, 0.400, 0.000)
Ge (0.376, 0.407, 0.500)
Ge (0.458, 0.122, 0.000)
Ge (0.461, 0.126, 0.500)
Ge (0.539, 0.874, 0.500)
Ge (0.542, 0.878, 0.000)
Ge (0.624, 0.593, 0.500)
Ge (0.630, 0.600, 0.000)
Ge (0.672, 0.319, 0.343)
Ge (0.672, 0.319, 0.657)
Ge (0.828, 0.819, 0.343)
Ge (0.828, 0.819, 0.657)
Ge (0.870, 0.100, 0.000)
Ge (0.876, 0.093, 0.500)
Ge (0.958, 0.378, 0.000)
Ge (0.961, 0.374, 0.500)

AlZnAu | GGA-PBEsol | optimized geometry

Values from the calculation:
DOS(E_F) (states/eV/atom): 0.21
Formation energy (eV per atom): -0.270

Cell lengths 4.646, 4.646, 4.646 Å; angles 136.74, 136.74, 62.84 degrees
Fractional positions:
Al (0.000, 0.000, 0.000)
Zn (0.329, 0.329, 0.000)
Au (0.663, 0.663, 0.000)

HfMnBeZn2 | GGA-PBEsol | optimized geometry

Values from the calculation:
DOS(E_F) (states/eV/atom): 0.66
Formation energy (eV per atom): 0.497

Cell lengths 4.098, 4.098, 4.622 Å; angles 90.00, 90.00, 90.00 degrees
Fractional positions:
Hf (0.000, 0.000, 0.000)
Mn (0.500, 0.500, 0.000)
Be (0.000, 0.000, 0.500)
Zn (0.000, 0.500, 0.500)
Zn (0.500, 0.000, 0.500)

TlWSe2 | GGA-PBEsol | optimized geometry

Values from the calculation:
Polymorph energy (0 for the lowest one) (meV/atom): 0
DOS(E_F) (states/eV/atom): 0.53
Energy relative to the elements, uncorrected (kJ/mol of atoms): 33

Cell lengths 3.050, 3.050, 8.875 Å; angles 90.00, 90.00, 90.00 degrees
Fractional positions:
Tl (0.000, 0.000, 0.000)
W (0.500, 0.500, 0.242)
Se (0.000, 0.000, 0.402)
Se (0.500, 0.500, 0.731)

BeCu3 | GGA-PBEsol | optimized geometry

Values from the calculation:
DOS(E_F) (states/eV/atom): 0.26
Formation energy (eV per atom): 0.001

Cell lengths 7.974, 7.974, 7.974 Å; angles 17.98, 17.98, 17.98 degrees
Fractional positions:
Be (0.000, 0.000, 0.000)
Cu (0.256, 0.256, 0.256)
Cu (0.500, 0.500, 0.500)
Cu (0.744, 0.744, 0.744)

MgScBr2 | GGA-PBEsol | optimized geometry

Values from the calculation:
Polymorph energy (0 for the lowest one) (meV/atom): 154
DOS(E_F) (states/eV/atom): 0.77
Energy relative to the elements, uncorrected (kJ/mol of atoms): -51

Cell lengths 4.952, 4.952, 3.463 Å; angles 90.00, 90.00, 90.00 degrees
Fractional positions:
Mg (0.000, 0.000, 0.000)
Sc (0.500, 0.500, 0.000)
Br (0.000, 0.500, 0.500)
Br (0.500, 0.000, 0.500)

Be2Te | GGA-PBEsol | optimized geometry

Values from the calculation:
Polymorph energy (0 for the lowest one) (meV/atom): 251
DOS(E_F) (states/eV/atom): 0.11
Energy relative to the elements, uncorrected (kJ/mol of atoms): 43

Cell lengths 3.814, 3.814, 4.500 Å; angles 90.00, 90.00, 120.00 degrees
Fractional positions:
Be (0.000, 0.000, 0.229)
Be (0.000, 0.000, 0.771)
Te (0.667, 0.333, 0.500)

Cu3Sb | GGA-PBEsol | optimized geometry

Values from the calculation:
DOS(E_F) (states/eV/atom): 0.26
Energy relative to the elements, uncorrected (kJ/mol of atoms): 6

Cell lengths 4.211, 5.421, 4.982 Å; angles 90.00, 90.00, 90.00 degrees
Fractional positions:
Cu (0.250, 0.004, 0.146)
Cu (0.250, 0.496, 0.146)
Cu (0.250, 0.750, 0.715)
Cu (0.750, 0.250, 0.285)
Cu (0.750, 0.504, 0.854)
Cu (0.750, 0.996, 0.854)
Sb (0.250, 0.250, 0.653)
Sb (0.750, 0.750, 0.347)